Computed, not measured: a relaxed structure of KPb3Br at the PBEsol level of DFT.

abc: 5.9912 5.9912 5.9912
angles: 90.00 90.00 90.00
Space group Pm-3m (No. 221)
Symmetry-distinct sites (fractional):
1 K 0.0000 0.0000 0.0000 x1
2 Pb 0.0000 0.0000 0.5000 x3
3 Br 0.5000 0.5000 0.5000 x1

Summary:
**ρ**: 5.72 g/cm3
**V**: 215 Å³ per cell
**Uncorrected formation energy**: 4.68 eV per formula unit


Computed, not measured: a relaxed structure of K2PbBr at the PBEsol level of DFT.

abc: 3.5082 6.2360 6.3380
angles: 90.00 90.00 90.00
Space group Pmm2 (No. 25)
Symmetry-distinct sites (fractional):
1 K 0.0000 0.0000 0.0000 x1
2 K 0.0000 0.5000 0.4652 x1
3 Pb 0.5000 0.5000 0.9615 x1
4 Br 0.5000 0.0000 0.4560 x1

Summary:
**ρ**: 4.37 g/cm3
**V**: 139 Å³ per cell
**ΔE to the lowest computed polymorph**: 0.150 eV per atom
**Uncorrected formation energy**: -2.37 eV per formula unit


Computed, not measured: a relaxed structure of K2PbBr at the PBEsol level of DFT.

abc: 8.4714 8.4714 8.4714
angles: 90.00 90.00 90.00
Space group Fm-3m (No. 225)
Symmetry-distinct sites (fractional):
1 K 0.2500 0.2500 0.2500 x8
2 Pb 0.0000 0.0000 0.0000 x4
3 Br 0.0000 0.0000 0.5000 x4

Summary:
**ρ**: 3.99 g/cm3
**V**: 608 Å³ per cell
**ΔE to the lowest computed polymorph**: 0.314 eV per atom
**Uncorrected formation energy**: -1.71 eV per formula unit


Computed, not measured: a relaxed structure of K2PbBr at the PBEsol level of DFT.

abc: 4.0093 4.0093 30.4976
angles: 90.00 90.00 120.00
Space group R-3m (No. 166, hexagonal axes)
Symmetry-distinct sites (fractional):
1 K 0.0000 0.0000 0.2371 x6
2 Pb 0.0000 0.0000 0.0000 x3
3 Br 0.0000 0.0000 0.5000 x3

Summary:
**ρ**: 4.29 g/cm3
**V**: 425 Å³ per cell
**ΔE to the lowest computed polymorph**: 0.000 eV per atom
**Uncorrected formation energy**: -2.97 eV per formula unit


Which of these has the highest V?
number 3


Look up the V of the fourth one.
425 Å³ per cell


Which value of uncorrected formation energy does entry 1 give?
4.68 eV per formula unit


What is the V in the third record?
608 Å³ per cell